(1)
A geometry-optimized Y2ZnSe4 structure, computed with GGA-PBE.

Computed properties:
- space group = Fd-3m (227)
- crystal system = cubic
- E (eV/cell) = -77.488

```
Y2ZnSe4
1.0
0.000 5.770 5.770
5.770 0.000 5.770
5.770 5.770 0.000
Y Zn Se
4 2 8
Cartesian
0.000 0.000 0.000 Y
2.885 2.885 0.000 Y
2.885 0.000 2.885 Y
0.000 2.885 2.885 Y
4.327 4.327 4.327 Zn
7.212 7.212 7.212 Zn
8.672 5.752 5.752 Se
2.867 2.867 2.867 Se
5.787 5.787 2.867 Se
5.787 2.867 5.787 Se
5.752 8.672 5.752 Se
5.752 5.752 8.672 Se
8.672 8.672 8.672 Se
2.867 5.787 5.787 Se
```

---

(2)
A geometry-optimized KRbHfTe3 structure, computed with GGA-PBE.

Computed properties:
- space group = P2_1/m (11)
- crystal system = monoclinic
- energy above the lowest structure with this stoichiometry (meV per atom) = 0
- E (eV/cell) = -54.620

```
KRbHfTe3
1.0
8.692 0.000 0.000
0.000 4.312 0.000
-1.089 0.000 11.816
K Rb Hf Te
2 2 2 6
Cartesian
0.549 1.078 1.679 K
7.054 3.234 10.137 K
1.626 3.234 5.692 Rb
5.977 1.078 6.124 Rb
2.581 1.078 9.843 Hf
5.022 3.234 1.973 Hf
0.313 1.078 8.303 Te
1.656 3.234 11.690 Te
3.604 1.078 3.352 Te
4.000 3.234 8.464 Te
5.947 1.078 0.126 Te
7.290 3.234 3.513 Te
```

---

(3)
A geometry-optimized Gd2Ge2O5 structure, computed with GGA-PBE.

Computed properties:
- space group = P4/mmm (123)
- crystal system = tetragonal
- energy above the lowest structure with this stoichiometry (meV per atom) = 93
- E (eV/cell) = -60.024

```
Gd2Ge2O5
1.0
3.636 0.000 0.000
0.000 3.636 0.000
0.000 0.000 9.514
Gd Ge O
2 2 5
Cartesian
0.000 0.000 2.329 Gd
0.000 0.000 7.185 Gd
1.818 1.818 0.000 Ge
1.818 1.818 4.757 Ge
0.000 0.000 0.000 O
0.000 1.818 3.562 O
0.000 1.818 5.952 O
1.818 0.000 3.562 O
1.818 0.000 5.952 O
```

---

(4)
A geometry-optimized Nd2Dy2CBr2Cl3 structure, computed with GGA-PBE.

Computed properties:
- space group = C2/m (12)
- crystal system = monoclinic
- energy above the lowest structure with this stoichiometry (meV per atom) = 2
- E (eV/cell) = -52.710

```
Nd2Dy2CBr2Cl3
1.0
8.967 -1.888 0.000
8.967 1.888 0.000
-1.973 0.000 7.653
Nd Dy C Br Cl
2 2 1 2 3
Cartesian
2.423 0.000 0.673 Nd
13.538 0.000 6.980 Nd
8.549 0.000 1.605 Dy
7.413 0.000 6.048 Dy
0.000 0.000 0.000 C
5.604 0.000 1.449 Br
10.357 0.000 6.205 Br
-0.986 0.000 3.827 Cl
4.923 0.000 4.921 Cl
11.038 0.000 2.732 Cl
```

---

(5)
A geometry-optimized ZrPaPb structure, computed with GGA-PBE.

Computed properties:
- space group = F-43m (216)
- crystal system = cubic
- energy above the lowest structure with this stoichiometry (meV per atom) = 0
- E (eV/cell) = -20.031

```
ZrPaPb
1.0
0.000 3.555 3.555
3.555 0.000 3.555
3.555 3.555 0.000
Zr Pa Pb
1 1 1
Cartesian
0.000 0.000 0.000 Zr
3.555 3.555 3.555 Pa
5.333 5.333 5.333 Pb
```

---

(6)
A geometry-optimized Gd3Ni4Te structure, computed with GGA-PBE.

Computed properties:
- space group = Pm (6)
- crystal system = monoclinic
- E (eV/cell) = -42.638

```
Gd3Ni4Te
1.0
5.347 0.000 0.000
0.000 4.076 0.000
-0.146 0.000 7.088
Gd Ni Te
3 4 1
Cartesian
0.000 0.000 0.000 Gd
1.243 2.038 4.527 Gd
2.672 2.038 1.068 Gd
1.308 0.000 2.571 Ni
2.518 0.000 6.062 Ni
3.888 2.038 5.515 Ni
5.281 2.038 2.077 Ni
3.944 0.000 3.525 Te
```

---

(7)
A geometry-optimized Ni15Sn structure, computed with GGA-PBE.

Computed properties:
- space group = P2_1/m (11)
- crystal system = monoclinic
- energy above the lowest structure with this stoichiometry (meV per atom) = 58
- E (eV/cell) = -172.174

```
Ni15Sn
1.0
4.966 0.000 0.000
0.000 2.563 0.000
-0.001 0.000 39.640
Ni Sn
30 2
Cartesian
0.607 0.641 8.766 Ni
0.621 0.641 12.175 Ni
0.620 0.641 15.586 Ni
0.619 0.641 18.980 Ni
0.620 0.641 22.368 Ni
0.620 0.641 25.761 Ni
0.620 0.641 29.169 Ni
1.848 1.923 30.873 Ni
1.862 1.923 7.094 Ni
1.862 1.923 10.475 Ni
1.862 1.923 13.886 Ni
1.862 1.923 17.271 Ni
1.861 1.923 20.658 Ni
1.861 1.923 24.054 Ni
1.862 1.923 27.465 Ni
3.103 0.641 12.175 Ni
3.104 0.641 15.586 Ni
3.104 0.641 18.982 Ni
3.103 0.641 22.369 Ni
3.103 0.641 25.753 Ni
3.103 0.641 29.165 Ni
3.103 0.641 32.545 Ni
3.117 0.641 8.767 Ni
4.345 1.923 10.471 Ni
4.345 1.923 13.879 Ni
4.345 1.923 17.272 Ni
4.346 1.923 20.659 Ni
4.345 1.923 24.054 Ni
4.344 1.923 27.465 Ni
4.358 1.923 30.873 Ni
0.620 0.641 33.072 Sn
4.345 1.923 6.568 Sn
```

---

(8)
A geometry-optimized PmTcH2 structure, computed with GGA-PBE.

Computed properties:
- space group = P4/mmm (123)
- crystal system = tetragonal
- E (eV/cell) = -21.611

```
PmTcH2
1.0
3.310 0.000 0.000
0.000 3.310 0.000
0.000 0.000 4.285
Pm Tc H
1 1 2
Cartesian
0.000 0.000 0.000 Pm
1.655 1.655 2.143 Tc
0.000 0.000 2.143 H
1.655 1.655 0.000 H
```